No. 1
The following is a PBE calculation of crystalline SmAgGe2 at its relaxed geometry, from Alexandria.

POSCAR file:
```
SmAgGe2
1.0
-3.3469 1.1226 2.5141
-2.5293 -10.8505 1.4778
8.3094 -0.4056 11.2432
Sm Ge Ag
8 16 8
Cartesian
2.1705 -4.4229 10.4677
3.3604 -10.4476 11.0065
-0.9273 0.3141 4.2286
-2.3450 -7.9004 2.2736
0.6123 -2.0782 7.3464
0.2627 -5.7106 4.7673
4.7782 -2.2331 12.9615
1.8208 -8.0553 7.8887
-2.7928 -5.2105 4.2118
2.4784 -5.1337 7.4594
0.9857 -2.6279 4.3534
0.3642 -9.6930 10.4163
1.4474 -7.5057 10.8816
2.9379 -7.8882 13.0367
2.9529 -10.1642 14.0730
-0.5048 -2.2453 2.1984
-1.1090 -7.2232 7.3522
3.5422 -2.9104 7.8829
-0.5198 0.0307 1.1621
-2.7423 -7.4532 5.2805
-0.0452 -4.9998 7.7756
2.0689 -0.4405 4.8188
5.2260 -4.9230 11.0232
5.1755 -2.6803 9.9545
-1.6441 -2.8618 4.6924
-0.5006 -8.8842 5.1683
-1.2644 -9.7044 8.2533
4.0773 -7.2717 10.5427
2.9338 -1.2493 10.0667
-1.4967 -4.6857 1.9675
3.9298 -5.4478 13.2675
3.6975 -0.4291 6.9818
```

***

No. 2
The following is a PBE calculation of crystalline Sm6Ag5Ge at its relaxed geometry, from Alexandria.

POSCAR file:
```
Sm6Ag5Ge
1.0
-4.6775 2.2532 -0.4854
-0.9580 -3.3859 -6.4848
-5.6688 -4.9921 3.4440
Sm Ge Ag
6 1 5
Cartesian
-6.0013 -0.5818 -0.8884
-4.8195 -3.8342 0.6351
-5.3031 -5.5430 -2.6378
-6.4849 -2.2906 -4.1613
-2.5719 0.3024 -1.8212
-3.0637 -1.4351 -5.1490
0.0000 0.0000 0.0000
-0.4790 -1.6930 -3.2424
-3.9469 -2.6411 -2.2350
-3.4996 -1.0063 1.0425
-6.8468 -1.7325 1.9162
-7.3574 -3.4837 -1.2912
```

***

No. 3
The following is a PBE calculation of crystalline SmAg2Ge at its relaxed geometry, from Alexandria.

POSCAR file:
```
SmAg2Ge
1.0
3.1227 0.0000 0.0000
1.5613 2.7043 0.0000
1.5613 0.9014 10.6029
Ge Ag Sm
1 2 1
Cartesian
3.1227 1.8029 5.3014
4.6840 2.7043 3.0034
1.5613 0.9014 7.5995
0.0000 0.0000 0.0000
```

***

Energy of formation (computed, meV/atom): -456; -356; 307
DFT total energy (computed, eV/cell): -149.04; -51.47; -13.81
Calculated volume (computed, Å³/cell): 681; 303; 90